First-principles (PBE+U) data for CoHAuO2 after structural relaxation, as listed in Alexandria.

Lattice parameters (Å, degrees): 3.9483 3.9483 3.2344 90.00 90.00 90.00
Last column: nearest neighbours and their distance in Å.
Fractional coordinates of all 5 atoms:
Co  0.0000  0.0000  0.0000  2 H 1.62
H  0.0000  0.0000  0.5000  2 Co 1.62
Au  0.5000  0.5000  0.5000  8 O 2.55, 4 H 2.79
O  0.0000  0.5000  0.0000  2 Co 1.97
O  0.5000  0.0000  0.0000  2 Co 1.97

Properties
**ρ**: 9515 kg/m3
**Energy**: -4.15 eV/atom
**Crystal system**: tetragonal